1 | # ScSiB3 (PBE, relaxed)
# DOS at the Fermi energy ... 4.02 states/eV/f.u.
# Calculated volume ... 16.98 A^3/atom
# SG ... Pm-3m (221)
data_ScSiB3
_space_group_name_H-M_alt 'P 1'
_space_group_IT_number 1
_space_group_name_Hall 'P 1'
_cell_length_a 4.395
_cell_length_b 4.395
_cell_length_c 4.395
_cell_angle_alpha 90.00
_cell_angle_beta 90.00
_cell_angle_gamma 90.00
loop_
_atom_site_label
_atom_site_type_symbol
_atom_site_fract_x
_atom_site_fract_y
_atom_site_fract_z
_atom_site_occupancy
Sc1 Sc 0.000 0.000 0.000 1
Si1 Si 0.500 0.500 0.500 1
B1 B 0.000 0.000 0.500 1
B2 B 0.000 0.500 0.000 1
B3 B 0.500 0.000 0.000 1



2 | # ScSiB3 (PBE, relaxed)
# DOS at the Fermi energy ... 2.26 states/eV/f.u.
# Calculated volume ... 12.10 A^3/atom
# SG ... Pm-3m (221)
data_ScSiB3
_space_group_name_H-M_alt 'P 1'
_space_group_IT_number 1
_space_group_name_Hall 'P 1'
_cell_length_a 3.926
_cell_length_b 3.926
_cell_length_c 3.926
_cell_angle_alpha 90.00
_cell_angle_beta 90.00
_cell_angle_gamma 90.00
loop_
_atom_site_label
_atom_site_type_symbol
_atom_site_fract_x
_atom_site_fract_y
_atom_site_fract_z
_atom_site_occupancy
Sc1 Sc 0.000 0.000 0.000 1
Si1 Si 0.500 0.500 0.500 1
B1 B 0.000 0.500 0.500 1
B2 B 0.500 0.000 0.500 1
B3 B 0.500 0.500 0.000 1



In order of decreasing stability: 2, 1.



1 | # Sc2SiB (PBE, relaxed)
# DOS at the Fermi energy ... 2.33 states/eV/f.u.
# Calculated volume ... 17.02 A^3/atom
# SG ... I-42d (122)
data_Sc2SiB
_space_group_name_H-M_alt 'P 1'
_space_group_IT_number 1
_space_group_name_Hall 'P 1'
_cell_length_a 5.646
_cell_length_b 5.646
_cell_length_c 5.646
_cell_angle_alpha 105.29
_cell_angle_beta 105.29
_cell_angle_gamma 118.19
loop_
_atom_site_label
_atom_site_type_symbol
_atom_site_fract_x
_atom_site_fract_y
_atom_site_fract_z
_atom_site_occupancy
Sc1 Sc 0.085 0.625 0.960 1
Sc2 Sc 0.375 0.335 0.460 1
Sc3 Sc 0.665 0.125 0.040 1
Sc4 Sc 0.875 0.915 0.540 1
Si1 Si 0.250 0.750 0.500 1
Si2 Si 0.500 0.500 0.000 1
B1 B 0.000 0.000 0.000 1
B2 B 0.750 0.250 0.500 1



2 | # Sc2SiB (PBE, relaxed)
# DOS at the Fermi energy ... 2.75 states/eV/f.u.
# Calculated volume ... 15.94 A^3/atom
# SG ... Fm-3m (225)
data_Sc2SiB
_space_group_name_H-M_alt 'P 1'
_space_group_IT_number 1
_space_group_name_Hall 'P 1'
_cell_length_a 4.485
_cell_length_b 4.485
_cell_length_c 4.485
_cell_angle_alpha 60.00
_cell_angle_beta 60.00
_cell_angle_gamma 60.00
loop_
_atom_site_label
_atom_site_type_symbol
_atom_site_fract_x
_atom_site_fract_y
_atom_site_fract_z
_atom_site_occupancy
Sc1 Sc 0.250 0.250 0.250 1
Sc2 Sc 0.750 0.750 0.750 1
Si1 Si 0.000 0.000 0.000 1
B1 B 0.500 0.500 0.500 1



3 | # Sc2SiB (PBE, relaxed)
# DOS at the Fermi energy ... 3.96 states/eV/f.u.
# Calculated volume ... 20.65 A^3/atom
# SG ... R-3m (166)
data_Sc2SiB
_space_group_name_H-M_alt 'P 1'
_space_group_IT_number 1
_space_group_name_Hall 'P 1'
_cell_length_a 8.480
_cell_length_b 8.480
_cell_length_c 8.480
_cell_angle_alpha 23.13
_cell_angle_beta 23.13
_cell_angle_gamma 23.13
loop_
_atom_site_label
_atom_site_type_symbol
_atom_site_fract_x
_atom_site_fract_y
_atom_site_fract_z
_atom_site_occupancy
Sc1 Sc 0.113 0.113 0.113 1
Sc2 Sc 0.887 0.887 0.887 1
Si1 Si 0.000 0.000 0.000 1
B1 B 0.500 0.500 0.500 1



4 | # Sc2SiB (PBE, relaxed)
# DOS at the Fermi energy ... 3.64 states/eV/f.u.
# Calculated volume ... 19.92 A^3/atom
# SG ... R-3m (166)
data_Sc2SiB
_space_group_name_H-M_alt 'P 1'
_space_group_IT_number 1
_space_group_name_Hall 'P 1'
_cell_length_a 8.920
_cell_length_b 8.920
_cell_length_c 8.920
_cell_angle_alpha 20.98
_cell_angle_beta 20.98
_cell_angle_gamma 20.98
loop_
_atom_site_label
_atom_site_type_symbol
_atom_site_fract_x
_atom_site_fract_y
_atom_site_fract_z
_atom_site_occupancy
Sc1 Sc 0.090 0.090 0.090 1
Sc2 Sc 0.910 0.910 0.910 1
Si1 Si 0.500 0.500 0.500 1
B1 B 0.000 0.000 0.000 1



In order of decreasing stability: 2, 1, 3, 4.



1 | # ScSi2B2 (PBE, relaxed)
# DOS at the Fermi energy ... 1.50 states/eV/f.u.
# Calculated volume ... 13.28 A^3/atom
# SG ... P4/mbm (127)
data_ScSi2B2
_space_group_name_H-M_alt 'P 1'
_space_group_IT_number 1
_space_group_name_Hall 'P 1'
_cell_length_a 6.604
_cell_length_b 6.604
_cell_length_c 3.044
_cell_angle_alpha 90.00
_cell_angle_beta 90.00
_cell_angle_gamma 90.00
loop_
_atom_site_label
_atom_site_type_symbol
_atom_site_fract_x
_atom_site_fract_y
_atom_site_fract_z
_atom_site_occupancy
Sc1 Sc 0.000 0.000 0.000 1
Sc2 Sc 0.500 0.500 0.000 1
Si1 Si 0.130 0.370 0.000 1
Si2 Si 0.370 0.870 0.000 1
Si3 Si 0.630 0.130 0.000 1
Si4 Si 0.870 0.630 0.000 1
B1 B 0.107 0.607 0.500 1
B2 B 0.393 0.107 0.500 1
B3 B 0.607 0.893 0.500 1
B4 B 0.893 0.393 0.500 1



2 | # ScSi2B2 (PBE, relaxed)
# DOS at the Fermi energy ... 1.89 states/eV/f.u.
# Calculated volume ... 12.44 A^3/atom
# SG ... I4/mmm (139)
data_ScSi2B2
_space_group_name_H-M_alt 'P 1'
_space_group_IT_number 1
_space_group_name_Hall 'P 1'
_cell_length_a 4.838
_cell_length_b 4.838
_cell_length_c 4.838
_cell_angle_alpha 131.51
_cell_angle_beta 131.51
_cell_angle_gamma 71.00
loop_
_atom_site_label
_atom_site_type_symbol
_atom_site_fract_x
_atom_site_fract_y
_atom_site_fract_z
_atom_site_occupancy
Sc1 Sc 0.000 0.000 0.000 1
Si1 Si 0.348 0.348 0.000 1
Si2 Si 0.652 0.652 0.000 1
B1 B 0.250 0.750 0.500 1
B2 B 0.750 0.250 0.500 1



In order of decreasing stability: 2, 1.



1 | # Sc2SnB (PBE, relaxed)
# DOS at the Fermi energy ... 3.23 states/eV/f.u.
# Calculated volume ... 18.80 A^3/atom
# SG ... Fm-3m (225)
data_Sc2SnB
_space_group_name_H-M_alt 'P 1'
_space_group_IT_number 1
_space_group_name_Hall 'P 1'
_cell_length_a 4.738
_cell_length_b 4.738
_cell_length_c 4.738
_cell_angle_alpha 60.00
_cell_angle_beta 60.00
_cell_angle_gamma 60.00
loop_
_atom_site_label
_atom_site_type_symbol
_atom_site_fract_x
_atom_site_fract_y
_atom_site_fract_z
_atom_site_occupancy
Sc1 Sc 0.250 0.250 0.250 1
Sc2 Sc 0.750 0.750 0.750 1
Sn1 Sn 0.000 0.000 0.000 1
B1 B 0.500 0.500 0.500 1



2 | # Sc2SnB (PBE, relaxed)
# DOS at the Fermi energy ... 6.84 states/eV/f.u.
# Calculated volume ... 23.21 A^3/atom
# SG ... R-3m (166)
data_Sc2SnB
_space_group_name_H-M_alt 'P 1'
_space_group_IT_number 1
_space_group_name_Hall 'P 1'
_cell_length_a 8.850
_cell_length_b 8.850
_cell_length_c 8.850
_cell_angle_alpha 23.00
_cell_angle_beta 23.00
_cell_angle_gamma 23.00
loop_
_atom_site_label
_atom_site_type_symbol
_atom_site_fract_x
_atom_site_fract_y
_atom_site_fract_z
_atom_site_occupancy
Sc1 Sc 0.119 0.119 0.119 1
Sc2 Sc 0.881 0.881 0.881 1
Sn1 Sn 0.000 0.000 0.000 1
B1 B 0.500 0.500 0.500 1



3 | # Sc2SnB (PBE, relaxed)
# DOS at the Fermi energy ... 2.59 states/eV/f.u.
# Calculated volume ... 19.73 A^3/atom
# SG ... I-42d (122)
data_Sc2SnB
_space_group_name_H-M_alt 'P 1'
_space_group_IT_number 1
_space_group_name_Hall 'P 1'
_cell_length_a 5.935
_cell_length_b 5.935
_cell_length_c 5.935
_cell_angle_alpha 105.09
_cell_angle_beta 105.09
_cell_angle_gamma 118.65
loop_
_atom_site_label
_atom_site_type_symbol
_atom_site_fract_x
_atom_site_fract_y
_atom_site_fract_z
_atom_site_occupancy
Sc1 Sc 0.058 0.625 0.933 1
Sc2 Sc 0.375 0.308 0.433 1
Sc3 Sc 0.692 0.125 0.067 1
Sc4 Sc 0.875 0.942 0.567 1
Sn1 Sn 0.250 0.750 0.500 1
Sn2 Sn 0.500 0.500 0.000 1
B1 B 0.000 0.000 0.000 1
B2 B 0.750 0.250 0.500 1



4 | # Sc2SnB (PBE, relaxed)
# DOS at the Fermi energy ... 3.56 states/eV/f.u.
# Calculated volume ... 22.51 A^3/atom
# SG ... R-3m (166)
data_Sc2SnB
_space_group_name_H-M_alt 'P 1'
_space_group_IT_number 1
_space_group_name_Hall 'P 1'
_cell_length_a 9.850
_cell_length_b 9.850
_cell_length_c 9.850
_cell_angle_alpha 19.17
_cell_angle_beta 19.17
_cell_angle_gamma 19.17
loop_
_atom_site_label
_atom_site_type_symbol
_atom_site_fract_x
_atom_site_fract_y
_atom_site_fract_z
_atom_site_occupancy
Sc1 Sc 0.081 0.081 0.081 1
Sc2 Sc 0.919 0.919 0.919 1
Sn1 Sn 0.500 0.500 0.500 1
B1 B 0.000 0.000 0.000 1



In order of decreasing stability: 2, 3, 1, 4.



1 | # SrScB3 (PBE, relaxed)
# DOS at the Fermi energy ... 6.91 states/eV/f.u.
# Calculated volume ... 19.00 A^3/atom
# SG ... Pm-3m (221)
data_SrScB3
_space_group_name_H-M_alt 'P 1'
_space_group_IT_number 1
_space_group_name_Hall 'P 1'
_cell_length_a 4.563
_cell_length_b 4.563
_cell_length_c 4.563
_cell_angle_alpha 90.00
_cell_angle_beta 90.00
_cell_angle_gamma 90.00
loop_
_atom_site_label
_atom_site_type_symbol
_atom_site_fract_x
_atom_site_fract_y
_atom_site_fract_z
_atom_site_occupancy
Sr1 Sr 0.000 0.000 0.000 1
Sc1 Sc 0.500 0.500 0.500 1
B1 B 0.000 0.000 0.500 1
B2 B 0.000 0.500 0.000 1
B3 B 0.500 0.000 0.000 1



2 | # SrScB3 (PBE, relaxed)
# DOS at the Fermi energy ... 3.07 states/eV/f.u.
# Calculated volume ... 18.97 A^3/atom
# SG ... Pm-3m (221)
data_SrScB3
_space_group_name_H-M_alt 'P 1'
_space_group_IT_number 1
_space_group_name_Hall 'P 1'
_cell_length_a 4.560
_cell_length_b 4.560
_cell_length_c 4.560
_cell_angle_alpha 90.00
_cell_angle_beta 90.00
_cell_angle_gamma 90.00
loop_
_atom_site_label
_atom_site_type_symbol
_atom_site_fract_x
_atom_site_fract_y
_atom_site_fract_z
_atom_site_occupancy
Sr1 Sr 0.000 0.000 0.000 1
Sc1 Sc 0.500 0.500 0.500 1
B1 B 0.000 0.500 0.500 1
B2 B 0.500 0.000 0.500 1
B3 B 0.500 0.500 0.000 1



In order of decreasing stability: 2, 1.



1 | # Sr3ScB (PBE, relaxed)
# DOS at the Fermi energy ... 8.80 states/eV/f.u.
# Calculated volume ... 37.47 A^3/atom
# SG ... Pm-3m (221)
data_Sr3ScB
_space_group_name_H-M_alt 'P 1'
_space_group_IT_number 1
_space_group_name_Hall 'P 1'
_cell_length_a 5.722
_cell_length_b 5.722
_cell_length_c 5.722
_cell_angle_alpha 90.00
_cell_angle_beta 90.00
_cell_angle_gamma 90.00
loop_
_atom_site_label
_atom_site_type_symbol
_atom_site_fract_x
_atom_site_fract_y
_atom_site_fract_z
_atom_site_occupancy
Sr1 Sr 0.000 0.000 0.500 1
Sr2 Sr 0.000 0.500 0.000 1
Sr3 Sr 0.500 0.000 0.000 1
Sc1 Sc 0.500 0.500 0.500 1
B1 B 0.000 0.000 0.000 1



2 | # Sr3ScB (PBE, relaxed)
# DOS at the Fermi energy ... 6.77 states/eV/f.u.
# Calculated volume ... 49.09 A^3/atom
# SG ... Pm-3m (221)
data_Sr3ScB
_space_group_name_H-M_alt 'P 1'
_space_group_IT_number 1
_space_group_name_Hall 'P 1'
_cell_length_a 6.261
_cell_length_b 6.261
_cell_length_c 6.261
_cell_angle_alpha 90.00
_cell_angle_beta 90.00
_cell_angle_gamma 90.00
loop_
_atom_site_label
_atom_site_type_symbol
_atom_site_fract_x
_atom_site_fract_y
_atom_site_fract_z
_atom_site_occupancy
Sr1 Sr 0.000 0.000 0.500 1
Sr2 Sr 0.000 0.500 0.000 1
Sr3 Sr 0.500 0.000 0.000 1
Sc1 Sc 0.000 0.000 0.000 1
B1 B 0.500 0.500 0.500 1



In order of decreasing stability: 1, 2.